Entry 1:
KLiTlHg2: relaxed, PBE-GGA.

Calculated values
ρ: 7.27 Mg/m³
energy above the most stable polymorph in this dataset: 24 kJ/mol of formula units

a b c (Å): 5.289 5.289 5.318
angles (deg): 90.00 90.00 90.00
Space group P4/mmm (No. 123)
Unique sites:
K 0.000 0.000 0.000 (multiplicity 1)
Li 0.500 0.500 0.500 (multiplicity 1)
Tl 0.500 0.500 0.000 (multiplicity 1)
Hg 0.000 0.500 0.500 (multiplicity 2)



Entry 2:
KLiTlHg: relaxed, PBE-GGA.

Calculated values
ρ: 6.57 Mg/m³
energy above the most stable polymorph in this dataset: 34 kJ/mol of formula units

a b c (Å): 7.698 7.698 7.698
angles (deg): 90.00 90.00 90.00
Space group F-43m (No. 216)
Unique sites:
K 0.000 0.000 0.000 (multiplicity 4)
Li 0.250 0.250 0.250 (multiplicity 4)
Tl 0.000 0.000 0.500 (multiplicity 4)
Hg 0.250 0.250 0.750 (multiplicity 4)



Entry 3:
KLiZnHg2: relaxed, PBE-GGA.

Calculated values
final energy: -1.04 eV/atom
ρ: 5.70 Mg/m³

a b c (Å): 5.398 5.398 5.124
angles (deg): 90.00 90.00 90.00
Space group P4/mmm (No. 123)
Unique sites:
K 0.000 0.000 0.000 (multiplicity 1)
Li 0.500 0.500 0.000 (multiplicity 1)
Zn 0.500 0.500 0.500 (multiplicity 1)
Hg 0.000 0.500 0.500 (multiplicity 2)



Entry 4:
KLuHg2: relaxed, PBE-GGA.

Calculated values
ρ: 8.73 Mg/m³
energy above the most stable polymorph in this dataset: 0 kJ/mol of formula units

a b c (Å): 3.759 3.759 8.283
angles (deg): 90.00 90.00 90.00
Space group P4/mmm (No. 123)
Unique sites:
K 0.000 0.000 0.000 (multiplicity 1)
Lu 0.000 0.000 0.500 (multiplicity 1)
Hg 0.500 0.500 0.302 (multiplicity 2)



Entry 5:
KLuHg2: relaxed, PBE-GGA.

Calculated values
ρ: 8.05 Mg/m³
energy above the most stable polymorph in this dataset: 40 kJ/mol of formula units

a b c (Å): 3.9207 3.9207 28.5967
angles (deg): 90.00 90.00 120.00
Space group R-3m (No. 166, hexagonal axes)
Unique sites:
K 0.0000 0.0000 0.0000 (multiplicity 3)
Lu 0.0000 0.0000 0.5000 (multiplicity 3)
Hg 0.0000 0.0000 0.2370 (multiplicity 6)



Entry 6:
KLuHgPb: relaxed, PBE-GGA.

Calculated values
final energy: -2.59 eV/atom
ρ: 8.74 Mg/m³

a b c (Å): 7.788 7.788 7.788
angles (deg): 90.00 90.00 90.00
Space group F-43m (No. 216)
Unique sites:
K 0.000 0.000 0.000 (multiplicity 4)
Lu 0.000 0.000 0.500 (multiplicity 4)
Hg 0.250 0.250 0.250 (multiplicity 4)
Pb 0.250 0.250 0.750 (multiplicity 4)